1) The following is a PBEsol calculation of a relaxed WC3 crystal, from Alexandria via LeMat-Bulk.

```
data_WC3
_chemical_formula_sum 'W3 C9'
_cell_length_a 2.6814
_cell_length_b 2.6814
_cell_length_c 15.5892
_cell_angle_alpha 90.00
_cell_angle_beta 90.00
_cell_angle_gamma 120.00
_symmetry_space_group_name_H-M 'P 1'
_symmetry_Int_Tables_number 1
loop_
_symmetry_equiv_pos_as_xyz
'x,y,z'
loop_
_atom_site_label
_atom_site_type_symbol
_atom_site_fract_x
_atom_site_fract_y
_atom_site_fract_z
W1 W 0.0000 0.0000 0.0000
W2 W 0.3333 0.6667 0.6667
W3 W 0.6667 0.3333 0.3333
C1 C 0.0000 0.0000 0.2313
C2 C 0.0000 0.0000 0.5000
C3 C 0.0000 0.0000 0.7687
C4 C 0.3333 0.6667 0.1667
C5 C 0.3333 0.6667 0.4354
C6 C 0.3333 0.6667 0.8979
C7 C 0.6667 0.3333 0.1021
C8 C 0.6667 0.3333 0.5646
C9 C 0.6667 0.3333 0.8333
```

Properties
density	11284	kg/m³
space group	R-3m, No. 166
total moment	0.00	μB/f.u.

---

2) The following is a PBEsol calculation of a relaxed WC3 crystal, from Alexandria via LeMat-Bulk.

```
data_WC3
_chemical_formula_sum 'W2 C6'
_cell_length_a 4.4169
_cell_length_b 4.4169
_cell_length_c 4.2721
_cell_angle_alpha 90.00
_cell_angle_beta 90.00
_cell_angle_gamma 120.00
_symmetry_space_group_name_H-M 'P 1'
_symmetry_Int_Tables_number 1
loop_
_symmetry_equiv_pos_as_xyz
'x,y,z'
loop_
_atom_site_label
_atom_site_type_symbol
_atom_site_fract_x
_atom_site_fract_y
_atom_site_fract_z
W1 W 0.3333 0.6667 0.2500
W2 W 0.6667 0.3333 0.7500
C1 C 0.2171 0.4342 0.7500
C2 C 0.2171 0.7829 0.7500
C3 C 0.4342 0.2171 0.2500
C4 C 0.5658 0.7829 0.7500
C5 C 0.7829 0.2171 0.2500
C6 C 0.7829 0.5658 0.2500
```

Properties
density	10117	kg/m³
space group	P6_3/mmc, No. 194
total moment	0.00	μB/f.u.

---

Most stable structure, least stable structure: 2), 1).

---

1) The following is a PBEsol calculation of a relaxed Y3C crystal, from Alexandria via LeMat-Bulk.

```
data_Y3C
_chemical_formula_sum 'Y6 C2'
_cell_length_a 3.5437
_cell_length_b 4.9621
_cell_length_c 11.1960
_cell_angle_alpha 90.00
_cell_angle_beta 90.00
_cell_angle_gamma 90.00
_symmetry_space_group_name_H-M 'P 1'
_symmetry_Int_Tables_number 1
loop_
_symmetry_equiv_pos_as_xyz
'x,y,z'
loop_
_atom_site_label
_atom_site_type_symbol
_atom_site_fract_x
_atom_site_fract_y
_atom_site_fract_z
Y1 Y 0.0000 0.0000 0.0000
Y2 Y 0.0000 0.0000 0.3500
Y3 Y 0.0000 0.0000 0.6500
Y4 Y 0.5000 0.5000 0.1500
Y5 Y 0.5000 0.5000 0.5000
Y6 Y 0.5000 0.5000 0.8500
C1 C 0.0000 0.5000 0.0000
C2 C 0.5000 0.0000 0.5000
```

Properties
density	4702	kg/m³
space group	Immm, No. 71
total moment	0.00	μB/f.u.

---

2) The following is a PBEsol calculation of a relaxed Y3C crystal, from Alexandria via LeMat-Bulk.

```
data_Y3C
_chemical_formula_sum 'Y9 C3'
_cell_length_a 3.5389
_cell_length_b 3.5389
_cell_length_c 27.1104
_cell_angle_alpha 90.00
_cell_angle_beta 90.00
_cell_angle_gamma 120.00
_symmetry_space_group_name_H-M 'P 1'
_symmetry_Int_Tables_number 1
loop_
_symmetry_equiv_pos_as_xyz
'x,y,z'
loop_
_atom_site_label
_atom_site_type_symbol
_atom_site_fract_x
_atom_site_fract_y
_atom_site_fract_z
Y1 Y 0.0000 0.0000 0.0000
Y2 Y 0.0000 0.0000 0.2162
Y3 Y 0.0000 0.0000 0.7838
Y4 Y 0.3333 0.6667 0.4504
Y5 Y 0.3333 0.6667 0.6667
Y6 Y 0.3333 0.6667 0.8829
Y7 Y 0.6667 0.3333 0.1171
Y8 Y 0.6667 0.3333 0.3333
Y9 Y 0.6667 0.3333 0.5496
C1 C 0.0000 0.0000 0.5000
C2 C 0.3333 0.6667 0.1667
C3 C 0.6667 0.3333 0.8333
```

Properties
density	4722	kg/m³
space group	R-3m, No. 166
total moment	0.00	μB/f.u.

---

Most stable structure, least stable structure: 1), 2).

---

1) The following is a PBEsol calculation of a relaxed Y3C2 crystal, from Alexandria via LeMat-Bulk.

```
data_Y3C2
_chemical_formula_sum 'Y3 C2'
_cell_length_a 3.5867
_cell_length_b 3.5867
_cell_length_c 9.1432
_cell_angle_alpha 90.00
_cell_angle_beta 90.00
_cell_angle_gamma 120.00
_symmetry_space_group_name_H-M 'P 1'
_symmetry_Int_Tables_number 1
loop_
_symmetry_equiv_pos_as_xyz
'x,y,z'
loop_
_atom_site_label
_atom_site_type_symbol
_atom_site_fract_x
_atom_site_fract_y
_atom_site_fract_z
Y1 Y 0.0000 0.0000 0.0000
Y2 Y 0.3333 0.6667 0.2973
Y3 Y 0.6667 0.3333 0.7027
C1 C 0.3333 0.6667 0.8274
C2 C 0.6667 0.3333 0.1726
```

Properties
density	4739	kg/m³
space group	P-3m1, No. 164
total moment	0.00	μB/f.u.

---

2) The following is a PBEsol calculation of a relaxed Y3C2 crystal, from Alexandria via LeMat-Bulk.

```
data_Y3C2
_chemical_formula_sum 'Y9 C6'
_cell_length_a 3.5828
_cell_length_b 3.5828
_cell_length_c 27.8316
_cell_angle_alpha 90.00
_cell_angle_beta 90.00
_cell_angle_gamma 120.00
_symmetry_space_group_name_H-M 'P 1'
_symmetry_Int_Tables_number 1
loop_
_symmetry_equiv_pos_as_xyz
'x,y,z'
loop_
_atom_site_label
_atom_site_type_symbol
_atom_site_fract_x
_atom_site_fract_y
_atom_site_fract_z
Y1 Y 0.0000 0.0000 0.0000
Y2 Y 0.0000 0.0000 0.2356
Y3 Y 0.0000 0.0000 0.7644
Y4 Y 0.3333 0.6667 0.4311
Y5 Y 0.3333 0.6667 0.6667
Y6 Y 0.3333 0.6667 0.9023
Y7 Y 0.6667 0.3333 0.0977
Y8 Y 0.6667 0.3333 0.3333
Y9 Y 0.6667 0.3333 0.5689
C1 C 0.0000 0.0000 0.3901
C2 C 0.0000 0.0000 0.6099
C3 C 0.3333 0.6667 0.0568
C4 C 0.3333 0.6667 0.2765
C5 C 0.6667 0.3333 0.7235
C6 C 0.6667 0.3333 0.9432
```

Properties
density	4681	kg/m³
space group	R-3m, No. 166
total moment	0.00	μB/f.u.

---

Most stable structure, least stable structure: 1), 2).

---

1) The following is a PBEsol calculation of a relaxed YC2 crystal, from Alexandria via LeMat-Bulk.

```
data_YC2
_chemical_formula_sum 'Y2 C4'
_cell_length_a 4.1296
_cell_length_b 4.1296
_cell_length_c 5.0059
_cell_angle_alpha 90.00
_cell_angle_beta 90.00
_cell_angle_gamma 120.00
_symmetry_space_group_name_H-M 'P 1'
_symmetry_Int_Tables_number 1
loop_
_symmetry_equiv_pos_as_xyz
'x,y,z'
loop_
_atom_site_label
_atom_site_type_symbol
_atom_site_fract_x
_atom_site_fract_y
_atom_site_fract_z
Y1 Y 0.3333 0.6667 0.2500
Y2 Y 0.6667 0.3333 0.7500
C1 C 0.0000 0.0000 0.0000
C2 C 0.0000 0.0000 0.5000
C3 C 0.3333 0.6667 0.7500
C4 C 0.6667 0.3333 0.2500
```

Properties
density	5073	kg/m³
space group	P6_3/mmc, No. 194
total moment	0.00	μB/f.u.

---

2) The following is a PBEsol calculation of a relaxed YC2 crystal, from Alexandria via LeMat-Bulk.

```
data_YC2
_chemical_formula_sum 'Y4 C8'
_cell_length_a 2.8734
_cell_length_b 14.7786
_cell_length_c 3.1572
_cell_angle_alpha 90.00
_cell_angle_beta 90.00
_cell_angle_gamma 90.00
_symmetry_space_group_name_H-M 'P 1'
_symmetry_Int_Tables_number 1
loop_
_symmetry_equiv_pos_as_xyz
'x,y,z'
loop_
_atom_site_label
_atom_site_type_symbol
_atom_site_fract_x
_atom_site_fract_y
_atom_site_fract_z
Y1 Y 0.0000 0.1295 0.0000
Y2 Y 0.0000 0.8705 0.0000
Y3 Y 0.5000 0.3705 0.0000
Y4 Y 0.5000 0.6295 0.0000
C1 C 0.0000 0.0000 0.5000
C2 C 0.0000 0.2734 0.5000
C3 C 0.0000 0.5000 0.0000
C4 C 0.0000 0.7266 0.5000
C5 C 0.5000 0.0000 0.0000
C6 C 0.5000 0.2266 0.5000
C7 C 0.5000 0.5000 0.5000
C8 C 0.5000 0.7734 0.5000
```

Properties
density	5595	kg/m³
space group	Cmmm, No. 65
total moment	0.00	μB/f.u.

---

3) The following is a PBEsol calculation of a relaxed YC2 crystal, from Alexandria via LeMat-Bulk.

```
data_YC2
_chemical_formula_sum 'Y2 C4'
_cell_length_a 6.9800
_cell_length_b 3.6254
_cell_length_c 3.6242
_cell_angle_alpha 90.00
_cell_angle_beta 118.34
_cell_angle_gamma 90.00
_symmetry_space_group_name_H-M 'P 1'
_symmetry_Int_Tables_number 1
loop_
_symmetry_equiv_pos_as_xyz
'x,y,z'
loop_
_atom_site_label
_atom_site_type_symbol
_atom_site_fract_x
_atom_site_fract_y
_atom_site_fract_z
Y1 Y 0.0000 0.0000 0.0000
Y2 Y 0.5000 0.5000 0.0000
C1 C 0.1058 0.5000 0.6086
C2 C 0.3942 0.0000 0.3914
C3 C 0.6058 0.0000 0.6086
C4 C 0.8942 0.5000 0.3914
```

Properties
density	4646	kg/m³
space group	C2/m, No. 12
total moment	0.00	μB/f.u.

---

Most stable structure, least stable structure: 3), 1).

---

1) The following is a PBEsol calculation of a relaxed Y5C crystal, from Alexandria via LeMat-Bulk.

```
data_Y5C
_chemical_formula_sum 'Y5 C1'
_cell_length_a 3.2681
_cell_length_b 3.2681
_cell_length_c 13.8727
_cell_angle_alpha 90.00
_cell_angle_beta 90.00
_cell_angle_gamma 90.00
_symmetry_space_group_name_H-M 'P 1'
_symmetry_Int_Tables_number 1
loop_
_symmetry_equiv_pos_as_xyz
'x,y,z'
loop_
_atom_site_label
_atom_site_type_symbol
_atom_site_fract_x
_atom_site_fract_y
_atom_site_fract_z
Y1 Y 0.0000 0.0000 0.0000
Y2 Y 0.0000 0.0000 0.4045
Y3 Y 0.0000 0.0000 0.5955
Y4 Y 0.5000 0.5000 0.1926
Y5 Y 0.5000 0.5000 0.8074
C1 C 0.5000 0.5000 0.5000
```

Properties
density	5117	kg/m³
space group	P4/mmm, No. 123
total moment	0.00	μB/f.u.

---

2) The following is a PBEsol calculation of a relaxed Y5C crystal, from Alexandria via LeMat-Bulk.

```
data_Y5C
_chemical_formula_sum 'Y10 C2'
_cell_length_a 4.8518
_cell_length_b 3.8759
_cell_length_c 17.2962
_cell_angle_alpha 90.00
_cell_angle_beta 90.00
_cell_angle_gamma 90.00
_symmetry_space_group_name_H-M 'P 1'
_symmetry_Int_Tables_number 1
loop_
_symmetry_equiv_pos_as_xyz
'x,y,z'
loop_
_atom_site_label
_atom_site_type_symbol
_atom_site_fract_x
_atom_site_fract_y
_atom_site_fract_z
Y1 Y 0.0000 0.0000 0.0000
Y2 Y 0.0000 0.0000 0.3140
Y3 Y 0.0000 0.5000 0.5000
Y4 Y 0.0000 0.5000 0.8140
Y5 Y 0.5000 0.0000 0.1727
Y6 Y 0.5000 0.0000 0.5303
Y7 Y 0.5000 0.0000 0.8540
Y8 Y 0.5000 0.5000 0.0303
Y9 Y 0.5000 0.5000 0.3540
Y10 Y 0.5000 0.5000 0.6727
C1 C 0.0000 0.0000 0.5774
C2 C 0.0000 0.5000 0.0774
```

Properties
density	4662	kg/m³
space group	Amm2, No. 38
total moment	0.00	μB/f.u.

---

Most stable structure, least stable structure: 1), 2).

---

1) The following is a PBEsol calculation of a relaxed ZnC crystal, from Alexandria via LeMat-Bulk.

```
data_ZnC
_chemical_formula_sum 'Zn4 C4'
_cell_length_a 2.4818
_cell_length_b 2.4818
_cell_length_c 20.5707
_cell_angle_alpha 90.00
_cell_angle_beta 90.00
_cell_angle_gamma 120.00
_symmetry_space_group_name_H-M 'P 1'
_symmetry_Int_Tables_number 1
loop_
_symmetry_equiv_pos_as_xyz
'x,y,z'
loop_
_atom_site_label
_atom_site_type_symbol
_atom_site_fract_x
_atom_site_fract_y
_atom_site_fract_z
Zn1 Zn 0.3333 0.6667 0.0627
Zn2 Zn 0.3333 0.6667 0.4373
Zn3 Zn 0.6667 0.3333 0.5627
Zn4 Zn 0.6667 0.3333 0.9373
C1 C 0.0000 0.0000 0.2500
C2 C 0.0000 0.0000 0.7500
C3 C 0.3333 0.6667 0.7500
C4 C 0.6667 0.3333 0.2500
```

Properties
density	4686	kg/m³
space group	P6_3/mmc, No. 194
total moment	0.00	μB/f.u.

---

2) The following is a PBEsol calculation of a relaxed ZnC crystal, from Alexandria via LeMat-Bulk.

```
data_ZnC
_chemical_formula_sum 'Zn2 C2'
_cell_length_a 3.1262
_cell_length_b 3.1262
_cell_length_c 4.9247
_cell_angle_alpha 90.00
_cell_angle_beta 90.00
_cell_angle_gamma 120.00
_symmetry_space_group_name_H-M 'P 1'
_symmetry_Int_Tables_number 1
loop_
_symmetry_equiv_pos_as_xyz
'x,y,z'
loop_
_atom_site_label
_atom_site_type_symbol
_atom_site_fract_x
_atom_site_fract_y
_atom_site_fract_z
Zn1 Zn 0.0000 0.0000 0.0000
Zn2 Zn 0.0000 0.0000 0.5000
C1 C 0.3333 0.6667 0.2500
C2 C 0.6667 0.3333 0.7500
```

Properties
density	6169	kg/m³
space group	P6_3/mmc, No. 194
total moment	0.00	μB/f.u.

---

Most stable structure, least stable structure: 1), 2).